# Nd4DyCd3 | the Alexandria database | PBE-GGA | optimized geometry
data_Nd4DyCd3
_chemical_formula_sum 'Nd4 Dy1 Cd3'
_symmetry_space_group_name_H-M 'P 1'
_symmetry_Int_Tables_number 1
_cell_length_a 3.8071
_cell_length_b 5.5583
_cell_length_c 11.2333
_cell_angle_alpha 90.00
_cell_angle_beta 90.00
_cell_angle_gamma 90.00
loop_
_symmetry_equiv_pos_as_xyz
'x,y,z'
loop_
_atom_site_label
_atom_site_fract_x
_atom_site_fract_y
_atom_site_fract_z
Nd1 0.0000 0.0000 0.0000
Nd2 0.0000 0.0000 0.5000
Nd3 0.0000 0.5000 0.2383
Nd4 0.0000 0.5000 0.7617
Dy1 0.5000 0.5000 0.5000
Cd1 0.5000 0.0000 0.2535
Cd2 0.5000 0.0000 0.7465
Cd3 0.5000 0.5000 0.0000
# size of the total moment: 0.101 μB/f.u.
# D(E_F): 11.7 states/eV/cell
# symmetry: Pmmm (47)
# formation energy from the elements: -0.1923 eV/atom